Entry 1:
# Ac2Sn6Pd PBE-GGA relaxed
data_Ac2Sn6Pd
_chemical_formula_sum 'Ac2 Sn6 Pd1'
_symmetry_space_group_name_H-M 'P 1'
_symmetry_Int_Tables_number 1
_cell_length_a 4.631
_cell_length_b 12.632
_cell_length_c 12.632
_cell_angle_alpha 20.91
_cell_angle_beta 90.00
_cell_angle_gamma 90.00
loop_
_symmetry_equiv_pos_as_xyz
'x,y,z'
loop_
_atom_site_label
_atom_site_fract_x
_atom_site_fract_y
_atom_site_fract_z
Ac1 0.000 0.000 0.000
Ac2 0.000 0.335 0.335
Sn1 0.000 0.605 0.605
Sn2 0.000 0.721 0.721
Sn3 0.500 0.104 0.104
Sn4 0.500 0.221 0.221
Sn5 0.500 0.459 0.459
Sn6 0.500 0.887 0.887
Pd1 0.500 0.780 0.780
# Space group: Amm2 (38)
# Formation enthalpy at 0 K: -489.6 kJ/mol of formula units

=====

Entry 2:
# Sb3SBr7 PBE-GGA relaxed
data_Sb3SBr7
_chemical_formula_sum 'Sb3 S1 Br7'
_symmetry_space_group_name_H-M 'P 1'
_symmetry_Int_Tables_number 1
_cell_length_a 8.181
_cell_length_b 8.181
_cell_length_c 10.183
_cell_angle_alpha 126.93
_cell_angle_beta 126.93
_cell_angle_gamma 60.06
loop_
_symmetry_equiv_pos_as_xyz
'x,y,z'
loop_
_atom_site_label
_atom_site_fract_x
_atom_site_fract_y
_atom_site_fract_z
Sb1 0.000 0.000 0.000
Sb2 0.508 0.992 0.527
Sb3 0.992 0.508 0.527
S1 0.930 0.930 0.689
Br1 0.030 0.514 0.804
Br2 0.046 0.046 0.358
Br3 0.409 0.942 0.138
Br4 0.436 0.436 0.671
Br5 0.514 0.030 0.804
Br6 0.551 0.551 0.357
Br7 0.942 0.409 0.138
# ΔE_f (raw): -578 kJ/mol of formula units
# Space group: Cm (8)

=====

Entry 3:
# CaYCo3 PBE-GGA relaxed
data_CaYCo3
_chemical_formula_sum 'Ca1 Y1 Co3'
_symmetry_space_group_name_H-M 'P 1'
_symmetry_Int_Tables_number 1
_cell_length_a 4.810
_cell_length_b 4.810
_cell_length_c 4.810
_cell_angle_alpha 90.00
_cell_angle_beta 90.00
_cell_angle_gamma 90.00
loop_
_symmetry_equiv_pos_as_xyz
'x,y,z'
loop_
_atom_site_label
_atom_site_fract_x
_atom_site_fract_y
_atom_site_fract_z
Ca1 0.000 0.000 0.000
Y1 0.500 0.500 0.500
Co1 0.000 0.500 0.500
Co2 0.500 0.000 0.500
Co3 0.500 0.500 0.000
# Space group: Pm-3m (221)
# Formation enthalpy at 0 K: 538.0 kJ/mol of formula units

=====

Entry 4:
# TlHg4Pb PBE-GGA relaxed
data_TlHg4Pb
_chemical_formula_sum 'Tl2 Hg8 Pb2'
_symmetry_space_group_name_H-M 'P 1'
_symmetry_Int_Tables_number 1
_cell_length_a 8.862
_cell_length_b 8.862
_cell_length_c 8.762
_cell_angle_alpha 90.00
_cell_angle_beta 90.00
_cell_angle_gamma 147.62
loop_
_symmetry_equiv_pos_as_xyz
'x,y,z'
loop_
_atom_site_label
_atom_site_fract_x
_atom_site_fract_y
_atom_site_fract_z
Tl1 0.123 0.877 0.750
Tl2 0.877 0.123 0.250
Hg1 0.055 0.945 0.250
Hg2 0.284 0.716 0.083
Hg3 0.284 0.716 0.417
Hg4 0.500 0.500 0.000
Hg5 0.500 0.500 0.500
Hg6 0.716 0.284 0.583
Hg7 0.716 0.284 0.917
Hg8 0.945 0.055 0.750
Pb1 0.340 0.660 0.750
Pb2 0.660 0.340 0.250
# Space group: Cmcm (63)
# Formation enthalpy at 0 K: 39.3 kJ/mol of formula units

=====

no.,energy relative to the lowest polymorph listed for this composition (meV per atom),ρ (g cm⁻³),density of states at the Fermi level (states/eV per cell)
1,0,8.013,2.85
2,0,3.735,0.00
3,0,4.562,15.08
4,44,10.940,5.49